Entry 1:
# BaCaAgPd

A geometry-optimized BaCaAgPd structure (PBE-GGA, Alexandria).

Structure (POSCAR):
```
BaCaAgPd
1.0
0.0000 3.8391 3.8391
3.8391 0.0000 3.8391
3.8391 3.8391 0.0000
Ba Ca Ag Pd
1 1 1 1
direct
0.0000 0.0000 0.0000
0.5000 0.5000 0.5000
0.2500 0.2500 0.2500
0.7500 0.7500 0.7500
```

## Properties
Magnetic moment ... 0.0 μB per cell
E above lowest polymorph ... 0.0522 eV/atom
Electronic total energy ... -3.35 eV/atom
Formation enthalpy at 0 K ... -137 kJ/mol of formula units

Entry 2:
# CaMg2Ti2O7

A geometry-optimized CaMg2Ti2O7 structure (PBE-GGA, Alexandria).

Structure (POSCAR):
```
CaMg2Ti2O7
1.0
-1.9691 8.2139 2.1298
1.9691 -8.2139 2.1298
1.9691 8.2139 -2.1298
Ca Mg Ti O
1 2 2 7
direct
0.0000 0.0000 0.0000
0.3594 0.6134 0.7460
0.8674 0.6134 0.2540
0.4514 0.0637 0.3877
0.6759 0.0637 0.6123
0.0299 0.6431 0.3868
0.2562 0.6431 0.6132
0.3882 0.1207 0.2675
0.5142 0.6305 0.8836
0.6741 0.1741 0.5000
0.7469 0.6305 0.1164
0.8532 0.1207 0.7325
```

## Properties
Energy relative to the elements, uncorrected ... -282.8 kJ per mole of atoms
Magnetic moment ... 0.0 μB per cell
Electronic total energy ... -7.57 eV/atom

Entry 3:
# KFeRe2

A geometry-optimized KFeRe2 structure (PBE-GGA, Alexandria).

Structure (POSCAR):
```
KFeRe2
1.0
0.0000 3.1195 3.1195
3.1195 0.0000 3.1195
3.1195 3.1195 0.0000
K Fe Re
1 1 2
direct
0.0000 0.0000 0.0000
0.5000 0.5000 0.5000
0.2500 0.2500 0.2500
0.7500 0.7500 0.7500
```

## Properties
Magnetic moment ... 0.0 μB per cell
E above lowest polymorph ... 1.1146 eV/atom
Electronic total energy ... -6.70 eV/atom
Formation enthalpy at 0 K ... 740 kJ/mol of formula units

Entry 4:
# TeP2RuS

A geometry-optimized TeP2RuS structure (PBE-GGA, Alexandria).

Structure (POSCAR):
```
TeP2RuS
1.0
4.4935 0.0000 0.0000
0.0000 4.4935 0.0000
0.0000 0.0000 5.0274
Te P Ru S
1 2 1 1
direct
0.0000 0.0000 0.0000
0.0000 0.5000 0.5000
0.5000 0.0000 0.5000
0.5000 0.5000 0.5000
0.5000 0.5000 0.0000
```

## Properties
Energy relative to the elements, uncorrected ... 46.1 kJ per mole of atoms
Magnetic moment ... 0.0 μB per cell
E above lowest polymorph ... 0.0000 eV/atom
Electronic total energy ... -4.99 eV/atom

Entry 5:
# La7CePr12

A geometry-optimized La7CePr12 structure (PBE-GGA, Alexandria).

Structure (POSCAR):
```
La7CePr12
1.0
6.9554 4.0157 4.3248
-6.9554 4.0157 4.3248
0.0000 -8.0314 4.3248
La Ce Pr
7 1 12
direct
0.0000 0.0000 0.0000
0.0880 0.3549 0.3549
0.3549 0.0880 0.3549
0.3549 0.3549 0.0880
0.6451 0.6451 0.9120
0.6451 0.9120 0.6451
0.9120 0.6451 0.6451
0.5000 0.5000 0.5000
0.0935 0.0935 0.6600
0.0935 0.6600 0.0935
0.2439 0.5000 0.7561
0.2439 0.7561 0.5000
0.3400 0.9065 0.9065
0.5000 0.2439 0.7561
0.5000 0.7561 0.2439
0.6600 0.0935 0.0935
0.7561 0.2439 0.5000
0.7561 0.5000 0.2439
0.9065 0.3400 0.9065
0.9065 0.9065 0.3400
```

## Properties
Magnetic moment ... 0.5 μB per cell
E above lowest polymorph ... 0.0000 eV/atom
Electronic total energy ... -4.82 eV/atom
Formation enthalpy at 0 K ... 142 kJ/mol of formula units

- Among the records above, which one has the lowest electronic total energy?
  CaMg2Ti2O7